Record 1
Na3LiPu2S6: relaxed, PBE-GGA.

Properties
* calculated volume: 22.23 Å³ per atom
* uncorrected energy: -75.92 eV for the cell shown
* energy relative to the elements, uncorrected: -1.385 eV per atom
* DOS at the Fermi energy: 12.224 states/eV/f.u.

a = 6.850 Å, b = 6.850 Å, c = 6.948 Å
α = 99.45°, β = 99.45°, γ = 120.00°
Positions (direct):
Na: 0.000 0.000 0.000
Na: 0.338 0.662 0.000
Na: 0.662 0.338 0.000
Li: 0.500 0.500 0.500
Pu: 0.167 0.833 0.500
Pu: 0.833 0.167 0.500
S: 0.081 0.426 0.278
S: 0.230 0.230 0.723
S: 0.426 0.081 0.278
S: 0.574 0.919 0.722
S: 0.770 0.770 0.277
S: 0.919 0.574 0.722

Record 2
Na4LiPu3S8: relaxed, PBE-GGA.

Properties
* calculated volume: 22.54 Å³ per atom
* uncorrected energy: -106.03 eV for the cell shown
* energy relative to the elements, uncorrected: -1.427 eV per atom
* DOS at the Fermi energy: 21.929 states/eV/f.u.

a = 8.016 Å, b = 8.016 Å, c = 8.016 Å
α = 59.56°, β = 59.56°, γ = 59.56°
Positions (direct):
Na: 0.000 0.000 0.000
Na: 0.000 0.500 0.500
Na: 0.500 0.000 0.500
Na: 0.500 0.500 0.000
Li: 0.500 0.500 0.500
Pu: 0.000 0.000 0.500
Pu: 0.000 0.500 0.000
Pu: 0.500 0.000 0.000
S: 0.232 0.744 0.744
S: 0.243 0.243 0.243
S: 0.256 0.256 0.768
S: 0.256 0.768 0.256
S: 0.744 0.232 0.744
S: 0.744 0.744 0.232
S: 0.757 0.757 0.757
S: 0.768 0.256 0.256

Record 3
Na3LiPu3S8: relaxed, PBE-GGA.

Properties
* calculated volume: 23.70 Å³ per atom
* uncorrected energy: -102.21 eV for the cell shown
* energy relative to the elements, uncorrected: -1.355 eV per atom
* DOS at the Fermi energy: 28.893 states/eV/f.u.

a = 8.012 Å, b = 8.012 Å, c = 8.012 Å
α = 59.00°, β = 59.00°, γ = 59.00°
Positions (direct):
Na: 0.000 0.500 0.500
Na: 0.500 0.000 0.500
Na: 0.500 0.500 0.000
Li: 0.500 0.500 0.500
Pu: 0.000 0.000 0.500
Pu: 0.000 0.500 0.000
Pu: 0.500 0.000 0.000
S: 0.229 0.742 0.742
S: 0.243 0.243 0.243
S: 0.258 0.258 0.771
S: 0.258 0.771 0.258
S: 0.742 0.229 0.742
S: 0.742 0.742 0.229
S: 0.757 0.757 0.757
S: 0.771 0.258 0.258

Record 4
Na2LiPuS4: relaxed, PBE-GGA.

Properties
* calculated volume: 21.41 Å³ per atom
* uncorrected energy: -45.07 eV for the cell shown
* energy relative to the elements, uncorrected: -1.209 eV per atom
* DOS at the Fermi energy: 5.942 states/eV/f.u.

a = 6.584 Å, b = 3.958 Å, c = 6.921 Å
α = 90.00°, β = 108.20°, γ = 90.00°
Positions (direct):
Na: 0.000 0.000 0.000
Na: 0.500 0.500 0.000
Li: 0.000 0.500 0.500
Pu: 0.500 0.000 0.500
S: 0.255 0.000 0.718
S: 0.263 0.500 0.280
S: 0.737 0.500 0.720
S: 0.745 0.000 0.282

Record 5
Na2Li2PuS4: relaxed, PBE-GGA.

Properties
* calculated volume: 21.24 Å³ per atom
* uncorrected energy: -49.01 eV for the cell shown
* energy relative to the elements, uncorrected: -1.301 eV per atom
* DOS at the Fermi energy: 9.804 states/eV/f.u.

a = 7.581 Å, b = 7.581 Å, c = 7.371 Å
α = 116.42°, β = 116.42°, γ = 30.57°
Positions (direct):
Na: 0.152 0.152 0.041
Na: 0.848 0.848 0.959
Li: 0.320 0.320 0.519
Li: 0.680 0.680 0.481
Pu: 0.000 0.000 0.500
S: 0.209 0.209 0.689
S: 0.497 0.497 0.254
S: 0.503 0.503 0.746
S: 0.791 0.791 0.311

Record 6
NaLiPu2Se4: relaxed, PBE-GGA.

Properties
* calculated volume: 25.87 Å³ per atom
* uncorrected energy: -113.67 eV for the cell shown
* energy relative to the elements, uncorrected: -1.375 eV per atom
* DOS at the Fermi energy: 20.069 states/eV/f.u.

a = 7.108 Å, b = 7.108 Å, c = 14.546 Å
α = 90.00°, β = 90.00°, γ = 145.72°
Positions (direct):
Na: 0.109 0.891 0.750
Na: 0.891 0.109 0.250
Li: 0.157 0.843 0.250
Li: 0.843 0.157 0.750
Pu: 0.367 0.633 0.563
Pu: 0.367 0.633 0.937
Pu: 0.633 0.367 0.063
Pu: 0.633 0.367 0.437
Se: 0.000 0.000 0.000
Se: 0.000 0.000 0.500
Se: 0.269 0.731 0.113
Se: 0.269 0.731 0.387
Se: 0.444 0.556 0.750
Se: 0.556 0.444 0.250
Se: 0.731 0.269 0.613
Se: 0.731 0.269 0.887

Record 7
Na4LiPu3Se8: relaxed, PBE-GGA.

Properties
* calculated volume: 25.75 Å³ per atom
* uncorrected energy: -98.81 eV for the cell shown
* energy relative to the elements, uncorrected: -1.297 eV per atom
* DOS at the Fermi energy: 25.884 states/eV/f.u.

a = 8.388 Å, b = 8.388 Å, c = 8.388 Å
α = 59.43°, β = 59.43°, γ = 59.43°
Positions (direct):
Na: 0.000 0.000 0.000
Na: 0.000 0.500 0.500
Na: 0.500 0.000 0.500
Na: 0.500 0.500 0.000
Li: 0.500 0.500 0.500
Pu: 0.000 0.000 0.500
Pu: 0.000 0.500 0.000
Pu: 0.500 0.000 0.000
Se: 0.236 0.743 0.743
Se: 0.244 0.244 0.244
Se: 0.257 0.257 0.764
Se: 0.257 0.764 0.257
Se: 0.743 0.236 0.743
Se: 0.743 0.743 0.236
Se: 0.756 0.756 0.756
Se: 0.764 0.257 0.257

Record 8
Na3LiPu2Se6: relaxed, PBE-GGA.

Properties
* calculated volume: 25.43 Å³ per atom
* uncorrected energy: -70.55 eV for the cell shown
* energy relative to the elements, uncorrected: -1.259 eV per atom
* DOS at the Fermi energy: 14.639 states/eV/f.u.

a = 7.160 Å, b = 7.160 Å, c = 7.276 Å
α = 99.43°, β = 99.43°, γ = 119.99°
Positions (direct):
Na: 0.000 0.000 0.000
Na: 0.337 0.663 0.000
Na: 0.663 0.337 0.000
Li: 0.500 0.500 0.500
Pu: 0.167 0.833 0.500
Pu: 0.833 0.167 0.500
Se: 0.083 0.425 0.275
Se: 0.234 0.234 0.725
Se: 0.425 0.083 0.275
Se: 0.575 0.917 0.725
Se: 0.766 0.766 0.275
Se: 0.917 0.575 0.725

Record 9
Na3LiPu2Te6: relaxed, PBE-GGA.

Properties
* calculated volume: 31.56 Å³ per atom
* uncorrected energy: -64.28 eV for the cell shown
* energy relative to the elements, uncorrected: -0.908 eV per atom
* DOS at the Fermi energy: 19.228 states/eV/f.u.

a = 7.692 Å, b = 7.692 Å, c = 7.820 Å
α = 99.41°, β = 99.41°, γ = 120.01°
Positions (direct):
Na: 0.000 0.000 0.000
Na: 0.335 0.665 0.000
Na: 0.665 0.335 0.000
Li: 0.500 0.500 0.500
Pu: 0.167 0.833 0.500
Pu: 0.833 0.167 0.500
Te: 0.087 0.424 0.273
Te: 0.239 0.239 0.728
Te: 0.424 0.087 0.273
Te: 0.576 0.913 0.727
Te: 0.761 0.761 0.272
Te: 0.913 0.576 0.727

Record 10
RbNa3Li: relaxed, PBE-GGA.

Properties
* calculated volume: 45.58 Å³ per atom
* uncorrected energy: -6.31 eV for the cell shown
* DOS at the Fermi energy: 1.942 states/eV/f.u.
* energy above the lowest structure with this stoichiometry: 30 meV per atom
* formation energy from the elements: 0.106 eV per atom

a = 6.108 Å, b = 6.108 Å, c = 6.108 Å
α = 90.00°, β = 90.00°, γ = 90.00°
Positions (direct):
Rb: 0.000 0.000 0.000
Na: 0.000 0.500 0.500
Na: 0.500 0.000 0.500
Na: 0.500 0.500 0.000
Li: 0.500 0.500 0.500

Record 11
Rb3Na7Li2: relaxed, PBE-GGA.

Properties
* calculated volume: 45.70 Å³ per atom
* uncorrected energy: -15.37 eV for the cell shown
* DOS at the Fermi energy: 7.941 states/eV/f.u.
* formation energy from the elements: 0.050 eV per atom

a = 12.173 Å, b = 12.173 Å, c = 12.173 Å
α = 35.67°, β = 35.67°, γ = 35.67°
Positions (direct):
Rb: 0.000 0.000 0.000
Rb: 0.142 0.142 0.142
Rb: 0.858 0.858 0.858
Na: 0.077 0.575 0.575
Na: 0.425 0.425 0.923
Na: 0.425 0.923 0.425
Na: 0.500 0.500 0.500
Na: 0.575 0.077 0.575
Na: 0.575 0.575 0.077
Na: 0.923 0.425 0.425
Li: 0.333 0.333 0.333
Li: 0.667 0.667 0.667

Record 12
RbNa4Li: relaxed, PBE-GGA.

Properties
* calculated volume: 42.31 Å³ per atom
* uncorrected energy: -7.68 eV for the cell shown
* DOS at the Fermi energy: 2.041 states/eV/f.u.
* energy above the lowest structure with this stoichiometry: 25 meV per atom
* formation energy from the elements: 0.080 eV per atom

a = 7.107 Å, b = 7.107 Å, c = 7.107 Å
α = 60.00°, β = 60.00°, γ = 60.00°
Positions (direct):
Rb: 0.000 0.000 0.000
Na: 0.129 0.624 0.624
Na: 0.624 0.129 0.624
Na: 0.624 0.624 0.129
Na: 0.624 0.624 0.624
Li: 0.250 0.250 0.250